1.
CaSmI4 | PBE-GGA | relaxed

a = 17.4797 Å, b = 4.2598 Å, c = 7.7894 Å
α = 90.00°, β = 114.57°, γ = 90.00°
Space group C2/m (No. 12)
Symmetry-distinct sites (fractional):
1 Ca 0.0000 0.0000 0.0000 [2 per cell]
2 Sm 0.0000 0.5000 0.5000 [2 per cell]
3 I 0.1172 0.5000 0.2825 [4 per cell]
4 I 0.1199 0.0000 0.7888 [4 per cell]

Calculated values
The raw formation energy comes out at -1398 meV/atom. The total energy comes out at -3.552 eV per atom.

=====

2.
CaSnI2 | PBE-GGA | relaxed

a = 8.0640 Å, b = 8.0640 Å, c = 8.0640 Å
α = 90.00°, β = 90.00°, γ = 90.00°
Space group Fm-3m (No. 225)
Symmetry-distinct sites (fractional):
1 Ca 0.0000 0.0000 0.0000 [4 per cell]
2 Sn 0.0000 0.0000 0.5000 [4 per cell]
3 I 0.2500 0.2500 0.2500 [8 per cell]

Calculated values
The raw formation energy comes out at -505 meV/atom. The total energy comes out at -2.781 eV per atom. The distance to the lowest polymorph of the same formula is 76 meV per atom.

=====

3.
Ca2SnI | PBE-GGA | relaxed

a = 4.3656 Å, b = 4.3656 Å, c = 25.4411 Å
α = 90.00°, β = 90.00°, γ = 120.00°
Space group R3m (No. 160, hexagonal axes)
Symmetry-distinct sites (fractional):
1 Ca 0.0000 0.0000 0.0000 [3 per cell]
2 Ca 0.0000 0.0000 0.1863 [3 per cell]
3 Sn 0.0000 0.0000 0.5932 [3 per cell]
4 I 0.0000 0.0000 0.7636 [3 per cell]

Calculated values
The raw formation energy comes out at -840 meV/atom. The total energy comes out at -3.229 eV per atom. The distance to the lowest polymorph of the same formula is 38 meV per atom.

=====

4.
Ca2SnI | PBE-GGA | relaxed

a = 4.4162 Å, b = 4.4162 Å, c = 24.6117 Å
α = 90.00°, β = 90.00°, γ = 120.00°
Space group R-3m (No. 166, hexagonal axes)
Symmetry-distinct sites (fractional):
1 Ca 0.0000 0.0000 0.2410 [6 per cell]
2 Sn 0.0000 0.0000 0.5000 [3 per cell]
3 I 0.0000 0.0000 0.0000 [3 per cell]

Calculated values
The raw formation energy comes out at -878 meV/atom. The total energy comes out at -3.267 eV per atom. The distance to the lowest polymorph of the same formula is 0 meV per atom.

=====

5.
CaSn3I | PBE-GGA | relaxed

a = 5.8542 Å, b = 5.8542 Å, c = 5.8542 Å
α = 90.00°, β = 90.00°, γ = 90.00°
Space group Pm-3m (No. 221)
Symmetry-distinct sites (fractional):
1 Ca 0.0000 0.0000 0.0000 [1 per cell]
2 Sn 0.0000 0.5000 0.5000 [3 per cell]
3 I 0.5000 0.5000 0.5000 [1 per cell]

Calculated values
The raw formation energy comes out at 472 meV/atom. The total energy comes out at -2.640 eV per atom. The distance to the lowest polymorph of the same formula is 0 meV per atom.

=====

6.
CaSnI3 | PBE-GGA | relaxed

a = 6.0439 Å, b = 6.0439 Å, c = 6.0439 Å
α = 90.00°, β = 90.00°, γ = 90.00°
Space group Pm-3m (No. 221)
Symmetry-distinct sites (fractional):
1 Ca 0.0000 0.0000 0.0000 [1 per cell]
2 Sn 0.5000 0.5000 0.5000 [1 per cell]
3 I 0.0000 0.0000 0.5000 [3 per cell]

Calculated values
The raw formation energy comes out at -634 meV/atom. The total energy comes out at -2.765 eV per atom. The distance to the lowest polymorph of the same formula is 0 meV per atom.

=====

7.
CaSnI2 | PBE-GGA | relaxed

a = 8.8648 Å, b = 8.8648 Å, c = 7.5736 Å
α = 90.00°, β = 90.00°, γ = 90.00°
Space group I-42d (No. 122)
Symmetry-distinct sites (fractional):
1 Ca 0.0000 0.0000 0.0000 [4 per cell]
2 Sn 0.0000 0.0000 0.5000 [4 per cell]
3 I 0.2320 0.2500 0.1250 [8 per cell]

Calculated values
The raw formation energy comes out at -581 meV/atom. The total energy comes out at -2.857 eV per atom. The distance to the lowest polymorph of the same formula is 0 meV per atom.

=====

8.
CaSnI3 | PBE-GGA | relaxed

a = 6.1466 Å, b = 6.1466 Å, c = 6.1466 Å
α = 90.00°, β = 90.00°, γ = 90.00°
Space group Pm-3m (No. 221)
Symmetry-distinct sites (fractional):
1 Ca 0.0000 0.0000 0.0000 [1 per cell]
2 Sn 0.5000 0.5000 0.5000 [1 per cell]
3 I 0.0000 0.5000 0.5000 [3 per cell]

Calculated values
The raw formation energy comes out at -404 meV/atom. The total energy comes out at -2.535 eV per atom. The distance to the lowest polymorph of the same formula is 230 meV per atom.

=====

9.
CaSnI2 | PBE-GGA | relaxed

a = 4.1470 Å, b = 4.1470 Å, c = 32.7410 Å
α = 90.00°, β = 90.00°, γ = 120.00°
Space group R-3m (No. 166, hexagonal axes)
Symmetry-distinct sites (fractional):
1 Ca 0.0000 0.0000 0.0000 [3 per cell]
2 Sn 0.0000 0.0000 0.5000 [3 per cell]
3 I 0.0000 0.0000 0.0934 [6 per cell]

Calculated values
The raw formation energy comes out at -319 meV/atom. The total energy comes out at -2.595 eV per atom. The distance to the lowest polymorph of the same formula is 262 meV per atom.

=====

10.
Ca4SnI5 | PBE-GGA | relaxed

a = 19.9781 Å, b = 4.3250 Å, c = 9.5527 Å
α = 90.00°, β = 103.42°, γ = 90.00°
Space group C2/m (No. 12)
Symmetry-distinct sites (fractional):
1 Ca 0.0047 0.0000 0.2472 [4 per cell]
2 Ca 0.1619 0.5000 0.0940 [4 per cell]
3 Sn 0.0000 0.5000 0.0000 [2 per cell]
4 I 0.0000 0.5000 0.5000 [2 per cell]
5 I 0.1686 0.0000 0.3330 [4 per cell]
6 I 0.1703 0.0000 0.8497 [4 per cell]

Calculated values
The raw formation energy comes out at -1313 meV/atom. The total energy comes out at -3.289 eV per atom.

=====

11.
CaSn3I | PBE-GGA | relaxed

a = 5.9697 Å, b = 5.9697 Å, c = 5.9697 Å
α = 90.00°, β = 90.00°, γ = 90.00°
Space group Pm-3m (No. 221)
Symmetry-distinct sites (fractional):
1 Ca 0.0000 0.0000 0.0000 [1 per cell]
2 Sn 0.0000 0.0000 0.5000 [3 per cell]
3 I 0.5000 0.5000 0.5000 [1 per cell]

Calculated values
The raw formation energy comes out at 572 meV/atom. The total energy comes out at -2.540 eV per atom. The distance to the lowest polymorph of the same formula is 100 meV per atom.

=====

12.
Ca2SnI | PBE-GGA | relaxed

a = 3.8426 Å, b = 3.8426 Å, c = 8.5845 Å
α = 90.00°, β = 90.00°, γ = 90.00°
Space group P4/mmm (No. 123)
Symmetry-distinct sites (fractional):
1 Ca 0.0000 0.0000 0.2217 [2 per cell]
2 Sn 0.5000 0.5000 0.0000 [1 per cell]
3 I 0.5000 0.5000 0.5000 [1 per cell]

Calculated values
The raw formation energy comes out at -831 meV/atom. The total energy comes out at -3.220 eV per atom. The distance to the lowest polymorph of the same formula is 47 meV per atom.

=====

13.
Ca3Sn5I12 | PBE-GGA | relaxed

a = 20.3485 Å, b = 20.3485 Å, c = 20.3485 Å
α = 90.00°, β = 90.00°, γ = 90.00°
Space group Ia-3d (No. 230)
Symmetry-distinct sites (fractional):
1 Ca 0.0000 0.2500 0.1250 [24 per cell]
2 Sn 0.0000 0.0000 0.0000 [16 per cell]
3 Sn 0.0000 0.2500 0.3750 [24 per cell]
4 I 0.0141 0.0244 0.3457 [96 per cell]

Calculated values
The raw formation energy comes out at -536 meV/atom. The total energy comes out at -2.767 eV per atom.

=====

14.
CaSnI6 | PBE-GGA | relaxed

a = 7.5520 Å, b = 13.5628 Å, c = 7.4946 Å
α = 90.00°, β = 108.73°, γ = 90.00°
Space group C2/m (No. 12)
Symmetry-distinct sites (fractional):
1 Ca 0.0000 0.0000 0.0000 [2 per cell]
2 Sn 0.0000 0.5000 0.5000 [2 per cell]
3 I 0.2287 0.3461 0.7359 [8 per cell]
4 I 0.2417 0.5000 0.2643 [4 per cell]

Calculated values
The raw formation energy comes out at -697 meV/atom. The total energy comes out at -2.611 eV per atom.

=====

15.
Ca2SnI | PBE-GGA | relaxed

a = 7.9466 Å, b = 7.9466 Å, c = 7.9466 Å
α = 90.00°, β = 90.00°, γ = 90.00°
Space group Fm-3m (No. 225)
Symmetry-distinct sites (fractional):
1 Ca 0.2500 0.2500 0.2500 [8 per cell]
2 Sn 0.0000 0.0000 0.0000 [4 per cell]
3 I 0.0000 0.0000 0.5000 [4 per cell]

Calculated values
The raw formation energy comes out at -659 meV/atom. The total energy comes out at -3.048 eV per atom. The distance to the lowest polymorph of the same formula is 219 meV per atom.

=====

16.
Ca3SnI | PBE-GGA | relaxed

a = 6.0210 Å, b = 6.0210 Å, c = 6.0210 Å
α = 90.00°, β = 90.00°, γ = 90.00°
Space group Pm-3m (No. 221)
Symmetry-distinct sites (fractional):
1 Ca 0.0000 0.0000 0.5000 [3 per cell]
2 Sn 0.0000 0.0000 0.0000 [1 per cell]
3 I 0.5000 0.5000 0.5000 [1 per cell]

Calculated values
The raw formation energy comes out at -484 meV/atom. The total energy comes out at -2.796 eV per atom. The distance to the lowest polymorph of the same formula is 0 meV per atom.

=====

17.
Ca2SnI | PBE-GGA | relaxed

a = 8.3976 Å, b = 8.3976 Å, c = 8.1816 Å
α = 90.00°, β = 90.00°, γ = 90.00°
Space group I-42d (No. 122)
Symmetry-distinct sites (fractional):
1 Ca 0.2443 0.2500 0.1250 [8 per cell]
2 Sn 0.0000 0.0000 0.0000 [4 per cell]
3 I 0.0000 0.0000 0.5000 [4 per cell]

Calculated values
The raw formation energy comes out at -603 meV/atom. The total energy comes out at -2.992 eV per atom. The distance to the lowest polymorph of the same formula is 274 meV per atom.

=====

18.
Ca2SnI6 | PBE-GGA | relaxed

a = 7.9111 Å, b = 7.9111 Å, c = 7.5726 Å
α = 90.00°, β = 90.00°, γ = 120.00°
Space group P-31m (No. 162)
Symmetry-distinct sites (fractional):
1 Ca 0.3333 0.6667 0.0000 [2 per cell]
2 Sn 0.0000 0.0000 0.0000 [1 per cell]
3 I 0.0000 0.3391 0.2347 [6 per cell]

Calculated values
The raw formation energy comes out at -1255 meV/atom. The total energy comes out at -3.178 eV per atom.

=====

19.
CaSnI6 | PBE-GGA | relaxed

a = 7.5448 Å, b = 7.5448 Å, c = 20.4710 Å
α = 90.00°, β = 90.00°, γ = 120.00°
Space group R-3 (No. 148, hexagonal axes)
Symmetry-distinct sites (fractional):
1 Ca 0.0000 0.0000 0.0000 [3 per cell]
2 Sn 0.0000 0.0000 0.5000 [3 per cell]
3 I 0.0068 0.3544 0.0853 [18 per cell]

Calculated values
The raw formation energy comes out at -696 meV/atom. The total energy comes out at -2.609 eV per atom.

=====

20.
Ca5SnI12 | PBE-GGA | relaxed

a = 7.8824 Å, b = 13.6720 Å, c = 15.6435 Å
α = 90.00°, β = 90.07°, γ = 90.00°
Space group C2/m (No. 12)
Symmetry-distinct sites (fractional):
1 Ca 0.0000 0.0000 0.0000 [2 per cell]
2 Ca 0.0000 0.1666 0.5000 [4 per cell]
3 Ca 0.0000 0.3334 0.0000 [4 per cell]
4 Sn 0.0000 0.5000 0.5000 [2 per cell]
5 I 0.1612 0.0000 0.6141 [4 per cell]
6 I 0.1663 0.1667 0.8875 [8 per cell]
7 I 0.1664 0.5000 0.8874 [4 per cell]
8 I 0.1696 0.3305 0.6140 [8 per cell]

Calculated values
The raw formation energy comes out at -1440 meV/atom. The total energy comes out at -3.252 eV per atom.

=====

21.
Sr2CaSnI | PBE-GGA | relaxed

a = 6.1651 Å, b = 6.1651 Å, c = 6.2577 Å
α = 90.00°, β = 90.00°, γ = 90.00°
Space group P4/mmm (No. 123)
Symmetry-distinct sites (fractional):
1 Sr 0.0000 0.5000 0.0000 [2 per cell]
2 Ca 0.0000 0.0000 0.5000 [1 per cell]
3 Sn 0.5000 0.5000 0.5000 [1 per cell]
4 I 0.5000 0.5000 0.0000 [1 per cell]

Calculated values
The raw formation energy comes out at -104 meV/atom. The total energy comes out at -2.288 eV per atom.

=====

22.
SrCaSnI6 | PBE-GGA | relaxed

a = 7.5920 Å, b = 7.5920 Å, c = 14.4746 Å
α = 90.00°, β = 90.00°, γ = 90.00°
Space group P4_2nm (No. 102)
Symmetry-distinct sites (fractional):
1 Sr 0.0000 0.0000 0.0000 [2 per cell]
2 Ca 0.0000 0.0000 0.6663 [2 per cell]
3 Sn 0.0000 0.0000 0.3324 [2 per cell]
4 I 0.1915 0.1915 0.5019 [4 per cell]
5 I 0.1990 0.1990 0.8267 [4 per cell]
6 I 0.2029 0.2029 0.1699 [4 per cell]

Calculated values
The raw formation energy comes out at -1238 meV/atom. The total energy comes out at -3.125 eV per atom.